8
Lattice="3.133 0.000 0.000 0.000 4.044 0.000 0.000 0.000 7.969" Properties=species:S:1:pos:R:3 comment="Cr2CuAs (PBE, optimized geometry)" dos_ef_per_ev_cell=8.28 total_energy_ev_per_cell=-53.9 pbc="T T T"
Cr 0.000 0.000 1.888
Cr 0.000 0.000 6.081
Cr 1.566 2.022 2.096
Cr 1.566 2.022 5.872
Cu 0.000 2.022 0.000
Cu 1.566 0.000 3.984
As 0.000 2.022 3.984
As 1.566 0.000 0.000